[1]
Entry from Alexandria via LeMat-Bulk: RbMoSeBr2 after structural relaxation (PBE).

Results
energy above the lowest structure with this stoichiometry: 0 meV per atom
spin magnetization: 2.68 μB/cell
SG: P4/mmm

a = 5.557 Å, b = 5.557 Å, c = 4.917 Å
α = 90.00°, β = 90.00°, γ = 90.00°
Last column: magnetic moment on the atom in μB.
Positions (direct):
Mo: 0.000 0.000 0.000  2.30
Se: 0.000 0.000 0.500  -0.06
Br: 0.000 0.500 0.000  0.03
Br: 0.500 0.000 0.000  0.03
Rb: 0.500 0.500 0.500  0.00

=====

[2]
Entry from Alexandria via LeMat-Bulk: Rb2SiMoBr6 after structural relaxation (PBE).

Results
spin magnetization: 4.00 μB/cell
SG: I4/mmm
uncorrected energy: -36.175 eV for the cell shown

a = 7.720 Å, b = 7.720 Å, c = 7.727 Å
α = 60.03°, β = 60.03°, γ = 90.00°
Last column: magnetic moment on the atom in μB.
Positions (direct):
Mo: 0.000 0.000 0.000  3.01
Si: 0.500 0.500 0.000  0.12
Br: 0.247 0.247 0.506  0.01
Br: 0.753 0.753 0.494  0.01
Br: 0.247 0.247 0.000  0.02
Br: 0.753 0.753 0.000  0.02
Br: 0.753 0.247 0.000  0.02
Br: 0.247 0.753 0.000  0.02
Rb: 0.750 0.250 0.500  0.00
Rb: 0.250 0.750 0.500  0.00

=====

[3]
Entry from Alexandria via LeMat-Bulk: Rb2SrMoBr6 after structural relaxation (PBE).

Results
spin magnetization: 2.00 μB/cell
SG: Fm-3m
uncorrected energy: -37.117 eV for the cell shown

a = 7.942 Å, b = 7.942 Å, c = 7.942 Å
α = 60.00°, β = 60.00°, γ = 90.00°
Last column: magnetic moment on the atom in μB.
Positions (direct):
Sr: 0.500 0.500 0.000  -0.01
Mo: 0.000 0.000 0.000  1.65
Br: 0.235 0.235 0.531  0.01
Br: 0.765 0.765 0.469  0.01
Br: 0.235 0.235 0.000  0.01
Br: 0.765 0.765 0.000  0.01
Br: 0.765 0.235 0.000  0.01
Br: 0.235 0.765 0.000  0.01
Rb: 0.750 0.250 0.500  0.00
Rb: 0.250 0.750 0.500  0.00

=====

[4]
Entry from Alexandria via LeMat-Bulk: Rb2TaMoBr6 after structural relaxation (PBE).

Results
spin magnetization: 2.75 μB/cell
SG: I4/mmm
uncorrected energy: -40.434 eV for the cell shown

a = 7.519 Å, b = 7.519 Å, c = 7.534 Å
α = 60.06°, β = 60.06°, γ = 90.00°
Last column: magnetic moment on the atom in μB.
Positions (direct):
Mo: 0.500 0.500 0.000  0.60
Br: 0.250 0.250 0.500  0.03
Br: 0.750 0.750 0.500  0.03
Br: 0.250 0.250 0.000  0.01
Br: 0.750 0.750 0.000  0.01
Br: 0.750 0.250 0.000  0.01
Br: 0.250 0.750 0.000  0.01
Rb: 0.750 0.250 0.500  0.00
Rb: 0.250 0.750 0.500  0.00
Ta: 0.000 0.000 0.000  1.39

=====

[5]
Entry from Alexandria via LeMat-Bulk: Rb2TcMoBr6 after structural relaxation (PBE).

Results
spin magnetization: 7.12 μB/cell
SG: I4/mmm
uncorrected energy: -39.691 eV for the cell shown

a = 7.656 Å, b = 7.656 Å, c = 7.653 Å
α = 59.99°, β = 59.99°, γ = 90.00°
Last column: magnetic moment on the atom in μB.
Positions (direct):
Mo: 0.500 0.500 0.000  2.68
Br: 0.253 0.253 0.493  0.05
Br: 0.747 0.747 0.507  0.05
Br: 0.253 0.253 0.000  0.05
Br: 0.747 0.747 0.000  0.05
Br: 0.747 0.253 0.000  0.05
Br: 0.253 0.747 0.000  0.05
Tc: 0.000 0.000 0.000  3.19
Rb: 0.750 0.250 0.500  0.00
Rb: 0.250 0.750 0.500  0.00

=====

[6]
Entry from Alexandria via LeMat-Bulk: Rb2TeMoBr6 after structural relaxation (PBE).

Results
spin magnetization: 2.00 μB/cell
SG: I4/mmm
uncorrected energy: -33.557 eV for the cell shown

a = 8.557 Å, b = 8.557 Å, c = 8.076 Å
α = 58.01°, β = 58.01°, γ = 90.00°
Last column: magnetic moment on the atom in μB.
Positions (direct):
Mo: 0.500 0.500 0.000  2.35
Te: 0.000 0.000 0.000  -0.36
Br: 0.255 0.255 0.489  -0.02
Br: 0.745 0.745 0.511  -0.02
Br: 0.285 0.285 0.000  -0.01
Br: 0.715 0.715 0.000  -0.01
Br: 0.715 0.285 0.000  -0.01
Br: 0.285 0.715 0.000  -0.01
Rb: 0.750 0.250 0.500  0.00
Rb: 0.250 0.750 0.500  0.00

=====

[7]
Entry from Alexandria via LeMat-Bulk: RbTl2MoBr6 after structural relaxation (PBE).

Results
spin magnetization: 6.00 μB/cell
SG: P2_1/c
uncorrected energy: -71.118 eV for the cell shown

a = 7.588 Å, b = 8.672 Å, c = 11.221 Å
α = 90.00°, β = 87.21°, γ = 90.00°
Last column: magnetic moment on the atom in μB.
Positions (direct):
Rb: 0.500 0.000 0.000  0.00
Rb: 0.000 0.500 0.500  0.00
Tl: 0.023 0.939 0.272  0.01
Tl: 0.523 0.561 0.772  0.01
Tl: 0.977 0.061 0.728  0.01
Tl: 0.477 0.439 0.228  0.01
Mo: 0.500 0.000 0.500  2.46
Mo: 0.000 0.500 0.000  2.46
Br: 0.290 0.657 0.028  0.01
Br: 0.790 0.843 0.528  0.01
Br: 0.710 0.343 0.972  0.01
Br: 0.210 0.157 0.472  0.01
Br: 0.350 0.754 0.412  0.01
Br: 0.850 0.746 0.912  0.01
Br: 0.650 0.246 0.588  0.01
Br: 0.150 0.254 0.088  0.01
Br: 0.880 0.581 0.214  0.01
Br: 0.380 0.919 0.714  0.01
Br: 0.120 0.419 0.786  0.01
Br: 0.620 0.081 0.286  0.01

=====

[8]
Entry from Alexandria via LeMat-Bulk: Rb2TlMoBr8 after structural relaxation (PBE).

Results
spin magnetization: 2.25 μB/cell
SG: P-3m1
uncorrected energy: -38.780 eV for the cell shown

a = 7.362 Å, b = 7.362 Å, c = 9.354 Å
α = 90.00°, β = 90.00°, γ = 120.00°
Last column: magnetic moment on the atom in μB.
Positions (direct):
Rb: 0.667 0.333 0.157  0.00
Rb: 0.333 0.667 0.843  0.00
Tl: 0.000 0.000 0.500  0.00
Mo: 0.000 0.000 0.000  1.41
Br: 0.839 0.678 0.839  0.00
Br: 0.322 0.161 0.839  0.00
Br: 0.839 0.161 0.839  0.00
Br: 0.161 0.322 0.161  0.00
Br: 0.678 0.839 0.161  0.00
Br: 0.161 0.839 0.161  0.00
Br: 0.667 0.333 0.507  0.22
Br: 0.333 0.667 0.493  0.22